Dy3Hg2BRh3 after structural relaxation. Source: Alexandria via LeMat-Bulk, functional PBE.

Output
- ΔH_f (0 K) (eV/atom) = -0.577
- SG = P-62m (189)
- crystal system = hexagonal

a = 7.5898 Å, b = 7.5898 Å, c = 3.4774 Å
α = 90.00°, β = 90.00°, γ = 120.00°
Sites, in units of the cell vectors:
Dy (0.0000, 0.6466, 0.0000)
Dy (0.3534, 0.3534, 0.0000)
Dy (0.6466, 0.0000, 0.0000)
Hg (0.3333, 0.6667, 0.5000)
Hg (0.6667, 0.3333, 0.5000)
B (0.0000, 0.0000, 0.0000)
Rh (0.0000, 0.2110, 0.5000)
Rh (0.2110, 0.0000, 0.5000)
Rh (0.7890, 0.7890, 0.5000)